No. 1
CoNi2 | GGA-PBE | relaxed

Geometry as CIF:
```
data_CoNi2
_chemical_formula_sum 'Co4 Ni8'
_symmetry_space_group_name_H-M 'I 4/m c m'
_symmetry_Int_Tables_number 140
_symmetry_space_group_name_Hall '-I 4 2c'
_cell_length_a 5.515
_cell_length_b 5.515
_cell_length_c 4.508
_cell_angle_alpha 90.00
_cell_angle_beta 90.00
_cell_angle_gamma 90.00
loop_
_atom_site_label
_atom_site_type_symbol
_atom_site_fract_x
_atom_site_fract_y
_atom_site_fract_z
_atom_site_occupancy
Co1 Co 0.000 0.000 0.250 1
Ni1 Ni 0.149 0.351 0.000 1
```

Calculated values
formation enthalpy at 0 K	0.25	eV/atom
magnetic moment	2.92	μB/f.u.

No. 2
CoNi5 | GGA-PBE | relaxed

Geometry as CIF:
```
data_CoNi5
_chemical_formula_sum 'Co4 Ni20'
_symmetry_space_group_name_H-M 'P 63/m m c'
_symmetry_Int_Tables_number 194
_symmetry_space_group_name_Hall '-P 6c 2c'
_cell_length_a 4.5878
_cell_length_b 4.5878
_cell_length_c 14.9165
_cell_angle_alpha 90.00
_cell_angle_beta 90.00
_cell_angle_gamma 120.00
loop_
_atom_site_label
_atom_site_type_symbol
_atom_site_fract_x
_atom_site_fract_y
_atom_site_fract_z
_atom_site_occupancy
Co1 Co 0.0000 0.0000 0.0890 1
Ni1 Ni 0.0000 0.5000 0.0000 1
Ni2 Ni 0.1625 0.3250 0.2500 1
Ni3 Ni 0.3333 0.6667 0.1262 1
Ni4 Ni 0.3333 0.6667 0.6547 1
```

Calculated values
formation enthalpy at 0 K	0.22	eV/atom
magnetic moment	4.71	μB/f.u.

No. 3
Co7Ni5 | GGA-PBE | relaxed

Geometry as CIF:
```
data_Co7Ni5
_chemical_formula_sum 'Co14 Ni10'
_symmetry_space_group_name_H-M 'P 63/m m c'
_symmetry_Int_Tables_number 194
_symmetry_space_group_name_Hall '-P 6c 2c'
_cell_length_a 4.5858
_cell_length_b 4.5858
_cell_length_c 14.9457
_cell_angle_alpha 90.00
_cell_angle_beta 90.00
_cell_angle_gamma 120.00
loop_
_atom_site_label
_atom_site_type_symbol
_atom_site_fract_x
_atom_site_fract_y
_atom_site_fract_z
_atom_site_occupancy
Co1 Co 0.0000 0.5000 0.0000 1
Co2 Co 0.3333 0.6667 0.1266 1
Co3 Co 0.3333 0.6667 0.6516 1
Ni1 Ni 0.0000 0.0000 0.0897 1
Ni2 Ni 0.1620 0.3239 0.2500 1
```

Calculated values
energy above the lowest structure with this stoichiometry	0.003	eV/atom
formation enthalpy at 0 K	0.20	eV/atom
magnetic moment	15.14	μB/f.u.

No. 4
Co3Ni | GGA-PBE | relaxed

Geometry as CIF:
```
data_Co3Ni
_chemical_formula_sum 'Co6 Ni2'
_symmetry_space_group_name_H-M 'P 63/m m c'
_symmetry_Int_Tables_number 194
_symmetry_space_group_name_Hall '-P 6c 2c'
_cell_length_a 4.9609
_cell_length_b 4.9609
_cell_length_c 4.0062
_cell_angle_alpha 90.00
_cell_angle_beta 90.00
_cell_angle_gamma 120.00
loop_
_atom_site_label
_atom_site_type_symbol
_atom_site_fract_x
_atom_site_fract_y
_atom_site_fract_z
_atom_site_occupancy
Co1 Co 0.1656 0.3312 0.2500 1
Ni1 Ni 0.3333 0.6667 0.7500 1
```

Calculated values
formation enthalpy at 0 K	-0.02	eV/atom
magnetic moment	5.54	μB/f.u.

No. 5
Co11Ni2 | GGA-PBE | relaxed

Geometry as CIF:
```
data_Co11Ni2
_chemical_formula_sum 'Co33 Ni6'
_symmetry_space_group_name_H-M 'R -3 m'
_symmetry_Int_Tables_number 166
_symmetry_space_group_name_Hall '-R 3 2"'
_cell_length_a 4.5570
_cell_length_b 4.5570
_cell_length_c 24.1892
_cell_angle_alpha 90.00
_cell_angle_beta 90.00
_cell_angle_gamma 120.00
loop_
_atom_site_label
_atom_site_type_symbol
_atom_site_fract_x
_atom_site_fract_y
_atom_site_fract_z
_atom_site_occupancy
Co1 Co 0.0000 0.0000 0.0000 1
Co2 Co 0.0000 0.0000 0.3480 1
Co3 Co 0.0000 0.0000 0.4529 1
Co4 Co 0.0046 0.5023 0.4121 1
Ni1 Ni 0.0000 0.0000 0.1654 1
```

Calculated values
energy above the lowest structure with this stoichiometry	0.000	eV/atom
formation enthalpy at 0 K	0.12	eV/atom
magnetic moment	19.49	μB/f.u.

No. 6
Co5Ni8 | GGA-PBE | relaxed

Geometry as CIF:
```
data_Co5Ni8
_chemical_formula_sum 'Co15 Ni24'
_symmetry_space_group_name_H-M 'R -3 m'
_symmetry_Int_Tables_number 166
_symmetry_space_group_name_Hall '-R 3 2"'
_cell_length_a 4.5668
_cell_length_b 4.5668
_cell_length_c 24.1326
_cell_angle_alpha 90.00
_cell_angle_beta 90.00
_cell_angle_gamma 120.00
loop_
_atom_site_label
_atom_site_type_symbol
_atom_site_fract_x
_atom_site_fract_y
_atom_site_fract_z
_atom_site_occupancy
Co1 Co 0.0000 0.0000 0.0000 1
Co2 Co 0.0000 0.0000 0.3479 1
Co3 Co 0.0000 0.0000 0.4535 1
Ni1 Ni 0.0000 0.0000 0.1656 1
Ni2 Ni 0.0030 0.5015 0.4121 1
```

Calculated values
energy above the lowest structure with this stoichiometry	0.000	eV/atom
formation enthalpy at 0 K	0.15	eV/atom
magnetic moment	13.51	μB/f.u.